DFT (PBE+U) results for an optimized crystal structure of BaNa2VF6.

Lattice parameters (Å, degrees): 5.9705 6.2602 10.2864 90.00 124.01 90.00
Closest atoms and distances in Å follow each position.
Space group P2_1/c (No. 14)
One atom of each set of equivalent atoms:
Ba 0.0000 0.0000 0.0000  6 F 2.53-2.67
Na 0.2342 0.0276 0.7190  5 F 2.26-2.46
V 0.5000 0.0000 0.5000  6 F 2.09-2.17
F 0.1519 0.1386 0.4660  1 V 2.09, 1 Na 2.26
F 0.2538 0.7156 0.3945  1 V 2.17, 1 Na 2.31
F 0.4129 0.1257 0.2814  1 V 2.15, 2 Na 2.32-2.34

Properties
Density in kg/m³: 3629
VASP energy in eV/atom: -5.32
Density of states at the Fermi level in states/eV per atom: 0.00